Ge2PtAu: optimized geometry, PBE-GGA.

Summary:
Space group ... R-3m (166)
Formation enthalpy at 0 K ... -125 meV per atom

extended XYZ file:
```
4
Lattice="1.661 0.959 8.353 -1.661 0.959 8.353 0.000 -1.918 8.353" Properties=species:S:1:pos:R:3 pbc="T T T"
Ge 0.000 0.000 2.476
Ge 0.000 0.000 22.582
Pt 0.000 0.000 12.529
Au 0.000 0.000 0.000
```